(1)
Here is a geometry-optimized KFeN structure from Alexandria. Energies are from PBE.

abc: 4.573 3.522 3.862
angles: 90.00 90.00 90.00
Site moments in Bohr magnetons follow the coordinates.
Element x y z (fractional)
1 K 0.000 0.500 0.000  0.00
2 Fe 0.500 0.000 0.500  2.11
3 N 0.500 0.500 0.500  -0.08

Results
Formation energy without anion corrections ... 285 meV per atom
Space-group type ... Pmmm, No. 47

=====

(2)
Here is a geometry-optimized TeAs2Pb structure from Alexandria. Energies are from PBE.

abc: 3.440 3.440 8.795
angles: 90.00 90.00 90.00
Element x y z (fractional)
1 As 0.500 0.500 0.209
2 As 0.000 0.000 0.078
3 Pb 0.000 0.000 0.464
4 Te 0.500 0.500 0.749

Results
Formation energy without anion corrections ... 150 meV per atom
Space-group type ... P4mm, No. 99

=====

(3)
Here is a geometry-optimized PbSCl2F structure from Alexandria. Energies are from PBE.

abc: 6.037 6.037 3.944
angles: 90.00 90.00 90.00
Site moments in Bohr magnetons follow the coordinates.
Element x y z (fractional)
1 Pb 0.500 0.500 0.500  -0.01
2 Cl 0.500 0.000 0.000  0.06
3 Cl 0.000 0.500 0.000  0.06
4 S 0.000 0.000 0.500  0.55
5 F 0.000 0.000 0.000  0.10

Results
Formation energy without anion corrections ... -148 meV per atom
Space-group type ... P4/mmm, No. 123

=====

(4)
Here is a geometry-optimized PmHo3Er2 structure from Alexandria. Energies are from PBE.

abc: 3.619 11.226 11.081
angles: 120.42 99.40 90.00
Element x y z (fractional)
1 Ho 0.945 0.322 0.890
2 Ho 0.388 0.513 0.776
3 Ho 0.278 0.155 0.557
4 Ho 0.055 0.678 0.110
5 Ho 0.722 0.845 0.443
6 Ho 0.612 0.487 0.224
7 Er 0.943 0.816 0.887
8 Er 0.277 0.650 0.554
9 Er 0.057 0.184 0.113
10 Er 0.723 0.350 0.446
11 Pm 0.611 0.987 0.222
12 Pm 0.389 0.013 0.778

Results
Energy of formation from the pure elements ... 8 meV/atom
Space-group type ... C2/m, No. 12

=====

(5)
Here is a geometry-optimized BeNiOs2 structure from Alexandria. Energies are from PBE.

abc: 2.627 2.627 8.219
angles: 90.00 90.00 117.25
Element x y z (fractional)
1 Ni 0.500 0.500 0.723
2 Os 0.500 0.500 0.275
3 Os 0.000 0.000 0.989
4 Be 0.000 0.000 0.513

Results
Energy of formation from the pure elements ... 330 meV/atom
Space-group type ... Cmm2, No. 35

=====

(6)
Here is a geometry-optimized Pm5Nd8Bi structure from Alexandria. Energies are from PBE.

abc: 8.688 8.652 8.688
angles: 114.83 99.75 114.47
Element x y z (fractional)
1 Nd 0.502 0.570 0.245
2 Nd 0.641 0.200 0.309
3 Nd 0.195 0.702 0.057
4 Nd 0.676 0.430 0.932
5 Nd 0.355 0.298 0.493
6 Nd 0.109 0.800 0.441
7 Nd 0.071 0.202 0.738
8 Nd 0.537 0.798 0.870
9 Pm 0.591 0.000 0.591
10 Pm 0.982 0.297 0.121
11 Pm 0.896 0.957 0.240
12 Pm 0.283 0.043 0.938
13 Pm 0.824 0.703 0.685
14 Bi 0.089 0.500 0.589

Results
Energy of formation from the pure elements ... 35 meV/atom
Space-group type ... C2, No. 5

=====

| no. | total DFT energy (no corrections) (eV/f.u.) |
| --- | --- |
| 1 | -17.03 |
| 2 | -15.55 |
| 3 | -14.14 |
| 4 | -27.56 |
| 5 | -30.65 |
| 6 | -65.29 |